LaCeCuPd after structural relaxation, computed with PBE-GGA.

Properties
N(E_F) = 36.05 states/eV per cell
formation enthalpy at 0 K = -0.358 eV per atom

CIF file:
```
data_LaCeCuPd
_cell_length_a 7.240
_cell_length_b 7.240
_cell_length_c 7.240
_cell_angle_alpha 90.00
_cell_angle_beta 90.00
_cell_angle_gamma 90.00
_symmetry_space_group_name_H-M 'F -4 3 m'
_symmetry_Int_Tables_number 216
_symmetry_space_group_name_Hall 'F -4 2 3'
loop_
_atom_site_label
_atom_site_fract_x
_atom_site_fract_y
_atom_site_fract_z
La1 0.000 0.000 0.000
Ce1 0.000 0.000 0.500
Cu1 0.250 0.250 0.250
Pd1 0.250 0.250 0.750
```

=====

LaCeCuRh after structural relaxation, computed with PBE-GGA.

Properties
N(E_F) = 31.81 states/eV per cell
formation enthalpy at 0 K = -0.372 eV per atom

CIF file:
```
data_LaCeCuRh
_cell_length_a 7.131
_cell_length_b 7.131
_cell_length_c 7.131
_cell_angle_alpha 90.00
_cell_angle_beta 90.00
_cell_angle_gamma 90.00
_symmetry_space_group_name_H-M 'F -4 3 m'
_symmetry_Int_Tables_number 216
_symmetry_space_group_name_Hall 'F -4 2 3'
loop_
_atom_site_label
_atom_site_fract_x
_atom_site_fract_y
_atom_site_fract_z
La1 0.000 0.000 0.000
Ce1 0.000 0.000 0.500
Cu1 0.250 0.250 0.750
Rh1 0.250 0.250 0.250
```

=====

LaCeCuRu after structural relaxation, computed with PBE-GGA.

Properties
N(E_F) = 25.69 states/eV per cell
formation enthalpy at 0 K = -0.163 eV per atom

CIF file:
```
data_LaCeCuRu
_cell_length_a 7.080
_cell_length_b 7.080
_cell_length_c 7.080
_cell_angle_alpha 90.00
_cell_angle_beta 90.00
_cell_angle_gamma 90.00
_symmetry_space_group_name_H-M 'F -4 3 m'
_symmetry_Int_Tables_number 216
_symmetry_space_group_name_Hall 'F -4 2 3'
loop_
_atom_site_label
_atom_site_fract_x
_atom_site_fract_y
_atom_site_fract_z
La1 0.000 0.000 0.000
Ce1 0.000 0.000 0.500
Cu1 0.250 0.250 0.250
Ru1 0.250 0.250 0.750
```

=====

LaCeCuS4 after structural relaxation, computed with PBE-GGA.

Properties
formation energy from raw total energies = -1580 meV/atom
N(E_F) = 7.89 states/eV per cell

CIF file:
```
data_LaCeCuS4
_cell_length_a 6.551
_cell_length_b 6.032
_cell_length_c 8.002
_cell_angle_alpha 90.00
_cell_angle_beta 107.47
_cell_angle_gamma 90.00
_symmetry_space_group_name_H-M 'P 1 21/m 1'
_symmetry_Int_Tables_number 11
loop_
_symmetry_equiv_pos_as_xyz
'x,y,z'
'-x,-y,-z'
'-x,y+1/2,-z'
'x,-y+1/2,z'
loop_
_atom_site_label
_atom_site_fract_x
_atom_site_fract_y
_atom_site_fract_z
La1 0.241 0.250 0.436
Ce1 0.257 0.250 0.941
Cu1 0.259 0.750 0.185
S1 0.065 0.750 0.899
S2 0.067 0.750 0.379
S3 0.483 0.513 0.753
```

=====

| no. | mass density (Mg/m³) |
| --- | --- |
| 1 | 7.86 |
| 2 | 8.16 |
| 3 | 8.30 |
| 4 | 5.18 |